Entry 1:
An optimized crystal structure of ReB2Mo. Source: the Alexandria database, functional PBE.

Geometry as extended XYZ:
```
8
Lattice="-2.388 2.388 4.845 2.388 -2.388 4.845 2.388 2.388 -4.845" Properties=species:S:1:pos:R:3 pbc="T T T"
Re 0.000 0.000 0.000
Re 0.000 2.388 2.423
B 3.582 1.135 -1.211
B 1.135 1.194 1.211
B -1.194 1.253 3.634
B 1.253 1.194 6.056
Mo 2.388 0.000 2.423
Mo 0.000 0.000 4.845
```

Summary:
Total moment, μB per cell: 0.0
Energy above the lowest structure with this stoichiometry, meV per atom: 989
Energy of formation, eV/atom: 0.81
Space group: No. 122

Entry 2:
An optimized crystal structure of Zr2Tl2SnSe6. Source: the Alexandria database, functional PBE.

Geometry as extended XYZ:
```
11
Lattice="3.506 -6.064 0.000 3.506 6.064 0.000 -2.167 0.000 7.718" Properties=species:S:1:pos:R:3 pbc="T T T"
Zr 3.506 4.045 0.000
Zr 3.506 -4.045 0.000
Tl 2.423 1.933 3.859
Tl 2.423 -1.933 3.859
Sn 3.506 0.000 0.000
Se 0.080 2.173 6.166
Se 0.965 0.000 1.554
Se 0.080 -2.173 6.166
Se 4.766 2.173 1.552
Se 3.881 0.000 6.164
Se 4.766 -2.173 1.552
```

Summary:
Total moment, μB per cell: 0.0
Formation energy from raw total energies, kJ/mol of formula units: -1006
Space group: No. 12

Entry 3:
An optimized crystal structure of BaHRu2. Source: the Alexandria database, functional PBE.

Geometry as extended XYZ:
```
8
Lattice="-2.907 2.907 4.122 2.907 -2.907 4.122 2.907 2.907 -4.122" Properties=species:S:1:pos:R:3 pbc="T T T"
Ba 2.907 1.453 1.031
Ba 0.000 1.453 3.092
H 2.907 -1.453 3.092
H 0.000 4.360 1.031
Ru 0.000 0.000 0.000
Ru 1.453 1.453 -2.061
Ru 1.453 -1.453 2.061
Ru 0.000 2.907 0.000
```

Summary:
Total moment, μB per cell: 3.3
Energy above the lowest structure with this stoichiometry, meV per atom: 0
Space group: No. 141

Entry 4:
An optimized crystal structure of TaFe2Tc. Source: the Alexandria database, functional PBE.

Geometry as extended XYZ:
```
4
Lattice="3.095 0.000 0.000 0.000 3.095 0.000 0.000 0.000 5.857" Properties=species:S:1:pos:R:3 pbc="T T T"
Ta 0.000 0.000 0.000
Fe 0.000 0.000 3.035
Fe 1.547 1.547 4.366
Tc 1.547 1.547 1.597
```

Summary:
Total moment, μB per cell: 4.4
Energy above the lowest structure with this stoichiometry, meV per atom: 0
Energy of formation, eV/atom: -0.08
Space group: No. 99

Entry 5:
An optimized crystal structure of PrDy4Er6. Source: the Alexandria database, functional PBE.

Geometry as extended XYZ:
```
22
Lattice="2.824 -4.818 0.000 2.824 4.818 0.000 0.000 0.000 25.578" Properties=species:S:1:pos:R:3 pbc="T T T"
Pr 2.824 3.112 19.184
Pr 2.824 -3.112 6.395
Dy 2.824 3.252 1.064
Dy 2.824 3.252 11.726
Dy 2.824 0.130 3.101
Dy 2.824 0.130 9.689
Dy 2.824 -0.130 15.890
Dy 2.824 -0.130 22.478
Dy 2.824 -3.252 13.853
Dy 2.824 -3.252 24.515
Er 2.824 3.325 4.616
Er 2.824 3.325 8.173
Er 2.824 3.110 15.392
Er 2.824 3.110 22.976
Er 2.824 0.108 6.395
Er 2.824 0.000 0.000
Er 2.824 0.000 12.789
Er 2.824 -0.108 19.184
Er 2.824 -3.110 2.603
Er 2.824 -3.110 10.186
Er 2.824 -3.325 17.406
Er 2.824 -3.325 20.962
```

Summary:
Total moment, μB per cell: 0.0
Energy above the lowest structure with this stoichiometry, meV per atom: 0
Energy of formation, eV/atom: 0.12
Space group: No. 63

Entry 6:
An optimized crystal structure of Nd3GaPd4. Source: the Alexandria database, functional PBE.

Geometry as extended XYZ:
```
8
Lattice="-2.071 3.254 7.190 2.071 -3.254 7.190 2.071 3.254 -7.190" Properties=species:S:1:pos:R:3 pbc="T T T"
Nd 0.000 0.000 0.000
Nd 2.071 0.000 4.465
Nd 0.000 3.254 2.724
Ga 0.000 0.000 7.190
Pd 2.071 1.370 -1.702
Pd 2.071 1.370 1.702
Pd 0.000 1.884 5.487
Pd 0.000 1.884 8.892
```

Summary:
Total moment, μB per cell: 0.0
Energy of formation, eV/atom: -0.68
Space group: No. 71

Entry 7:
An optimized crystal structure of BaNiRh3. Source: the Alexandria database, functional PBE.

Geometry as extended XYZ:
```
5
Lattice="4.692 0.000 0.000 0.000 4.692 0.000 0.000 0.000 4.692" Properties=species:S:1:pos:R:3 pbc="T T T"
Ba 0.000 0.000 0.000
Ni 2.346 2.346 2.346
Rh 0.000 2.346 2.346
Rh 2.346 0.000 2.346
Rh 2.346 2.346 0.000
```

Summary:
Total moment, μB per cell: 2.9
Energy of formation, eV/atom: 0.48
Space group: No. 221

Entry 8:
An optimized crystal structure of SbH2Cl. Source: the Alexandria database, functional PBE.

Geometry as extended XYZ:
```
8
Lattice="-2.317 2.317 6.108 2.317 -2.317 6.108 2.317 2.317 -6.108" Properties=species:S:1:pos:R:3 pbc="T T T"
Sb 2.317 1.159 1.527
Sb 0.000 1.159 4.581
H 2.317 0.000 0.000
H -1.159 1.159 3.054
H 0.000 0.000 6.108
H 1.159 1.159 3.054
Cl 2.317 -1.159 4.581
Cl 0.000 3.476 1.527
```

Summary:
Total moment, μB per cell: 0.0
Space group: No. 141
E, eV for the cell shown: -24.04

Entry 9:
An optimized crystal structure of Na4Pr3GaSe8. Source: the Alexandria database, functional PBE.

Geometry as extended XYZ:
```
16
Lattice="7.343 -4.204 0.000 7.343 4.204 0.000 -4.902 0.000 7.037" Properties=species:S:1:pos:R:3 pbc="T T T"
Na 0.000 0.000 0.000
Na 3.672 2.102 0.000
Na 3.672 -2.102 0.000
Na 7.343 0.000 0.000
Pr -2.451 0.000 3.518
Pr 1.220 2.102 3.518
Pr 1.220 -2.102 3.518
Ga 4.892 0.000 3.518
Se -0.018 0.000 5.206
Se 2.444 0.000 1.811
Se 3.790 1.880 5.077
Se 5.994 1.880 1.960
Se 3.790 -1.880 5.077
Se 5.994 -1.880 1.960
Se 7.340 0.000 5.226
Se 9.802 0.000 1.831
```

Summary:
Total moment, μB per cell: 0.0
Formation energy from raw total energies, kJ/mol of formula units: -2138
Space group: No. 12

Entry 10:
An optimized crystal structure of MgTeSe2. Source: the Alexandria database, functional PBE.

Geometry as extended XYZ:
```
4
Lattice="4.102 0.000 0.000 0.000 4.102 0.000 0.000 0.000 5.944" Properties=species:S:1:pos:R:3 pbc="T T T"
Mg 0.000 0.000 0.000
Te 2.051 2.051 2.961
Se 0.000 0.000 2.962
Se 2.051 2.051 5.933
```

Summary:
Total moment, μB per cell: 0.0
Energy above the lowest structure with this stoichiometry, meV per atom: 0
Formation energy from raw total energies, kJ/mol of formula units: -186
Space group: No. 99

Entry 11:
An optimized crystal structure of CdBrCl. Source: the Alexandria database, functional PBE.

Geometry as extended XYZ:
```
3
Lattice="-1.737 1.737 6.762 1.737 -1.737 6.762 1.737 1.737 -6.762" Properties=species:S:1:pos:R:3 pbc="T T T"
Cd 0.000 0.000 0.000
Br 0.000 0.000 5.044
Cl 0.000 0.000 8.317
```

Summary:
Total moment, μB per cell: 0.0
Formation energy from raw total energies, kJ/mol of formula units: -177
Space group: No. 107

Entry 12:
An optimized crystal structure of TbAl2Ru. Source: the Alexandria database, functional PBE.

Geometry as extended XYZ:
```
4
Lattice="2.121 1.224 5.069 -2.121 1.224 5.069 0.000 -2.449 5.069" Properties=species:S:1:pos:R:3 pbc="T T T"
Tb 0.000 0.000 0.000
Al 0.000 0.000 3.152
Al 0.000 0.000 12.054
Ru 0.000 0.000 7.603
```

Summary:
Total moment, μB per cell: 0.0
Energy of formation, eV/atom: -0.50
Space group: No. 166

Entry 13:
An optimized crystal structure of NaSnTeN2. Source: the Alexandria database, functional PBE.

Geometry as extended XYZ:
```
5
Lattice="4.567 0.000 0.000 0.000 4.567 0.000 0.000 0.000 5.939" Properties=species:S:1:pos:R:3 pbc="T T T"
Na 0.000 0.000 0.000
Sn 2.283 2.283 2.970
Te 0.000 0.000 2.970
N 0.000 2.283 0.000
N 2.283 0.000 0.000
```

Summary:
Total moment, μB per cell: 4.9
Energy above the lowest structure with this stoichiometry, meV per atom: 681
Formation energy from raw total energies, kJ/mol of formula units: 781
Space group: No. 123

Entry 14:
An optimized crystal structure of La6Mg5Pb. Source: the Alexandria database, functional PBE.

Geometry as extended XYZ:
```
12
Lattice="5.622 0.000 0.000 0.000 7.886 0.000 -2.804 0.000 8.463" Properties=species:S:1:pos:R:3 pbc="T T T"
La 0.000 1.967 0.000
La 0.000 5.919 0.000
La 0.005 2.003 5.643
La 0.005 5.883 5.643
La 2.814 2.003 2.819
La 2.814 5.883 2.819
Mg 0.002 3.943 2.805
Mg 0.003 0.000 2.923
Mg 2.811 3.943 0.000
Mg 2.815 0.000 5.540
Mg 2.817 3.943 5.658
Pb 2.811 0.000 0.000
```

Summary:
Total moment, μB per cell: 0.0
Energy of formation, eV/atom: -0.20
Space group: No. 10

Entry 15:
An optimized crystal structure of Zr2TaIr. Source: the Alexandria database, functional PBE.

Geometry as extended XYZ:
```
4
Lattice="-1.992 1.992 4.838 1.992 -1.992 4.838 1.992 1.992 -4.838" Properties=species:S:1:pos:R:3 pbc="T T T"
Zr 0.000 0.000 0.000
Zr 0.000 1.992 2.419
Ta 0.000 0.000 4.838
Ir 1.992 0.000 2.419
```

Summary:
Total moment, μB per cell: 0.0
Energy above the lowest structure with this stoichiometry, meV per atom: 160
Energy of formation, eV/atom: -0.23
Space group: No. 119

Entry 16:
An optimized crystal structure of ZrMo2As. Source: the Alexandria database, functional PBE.

Geometry as extended XYZ:
```
4
Lattice="-1.978 1.978 4.339 1.978 -1.978 4.339 1.978 1.978 -4.339" Properties=species:S:1:pos:R:3 pbc="T T T"
Zr 0.000 0.000 0.000
Mo 0.000 0.000 4.339
Mo 0.000 1.978 2.170
As 1.978 0.000 2.170
```

Summary:
Total moment, μB per cell: 0.0
Energy of formation, eV/atom: 0.00
Space group: No. 119

The evaluated V for the records listed, in turn: 111; 328; 139; 56; 696; 194; 103; 131; 434; 100; 82; 79; 124; 375; 77; 68 Å³/cell.